[1]
Na3IBr2 | PBE | optimized geometry

The value obtained for the total DFT energy (no corrections) is -0.215 Ry/atom.

The structure belongs to space group Fddd (No. 70, origin choice 2); the cell edges are 8.7788, 12.4121 and 26.3523 Å and the angles 90.00°, 90.00° and 90.00°. The asymmetric unit holds Na at (0.1129, 0.3750, 0.3750), Na at (0.1182, 0.3675, 0.2051), I at (0.1250, 0.1250, 0.5409), Br at (0.1250, 0.1250, 0.0423) and Br at (0.1250, 0.1250, 0.3746).

[2]
Na2IBr6 | PBE | optimized geometry

The value obtained for the total DFT energy (no corrections) is -0.160 Ry/atom. The distance to the lowest polymorph of the same formula comes out at 0 kJ/mol of formula units.

The structure belongs to space group P2_1/c (No. 14); the cell edges are 7.4000, 7.5808 and 13.2207 Å and the angles 90.00°, 116.34° and 90.00°. The asymmetric unit holds Na at (0.1584, 0.0396, 0.1996), I at (0.5000, 0.0000, 0.0000), Br at (0.1618, 0.7028, 0.8687), Br at (0.1894, 0.1993, 0.9885) and Br at (0.4678, 0.1381, 0.8043).

[3]
NaIBr | PBE | optimized geometry

The value obtained for the total DFT energy (no corrections) is -0.176 Ry/atom. The distance to the lowest polymorph of the same formula comes out at 26 kJ/mol of formula units.

The structure belongs to space group C2/m (No. 12); the cell edges are 11.0110, 4.1112 and 9.5776 Å and the angles 90.00°, 106.40° and 90.00°. The asymmetric unit holds Na at (0.0836, 0.0000, 0.3800), I at (0.1139, 0.5000, 0.1065) and Br at (0.1514, 0.5000, 0.6311).

Copy entry 3 word for word.
NaIBr | PBE | optimized geometry

The value obtained for the total DFT energy (no corrections) is -0.176 Ry/atom. The distance to the lowest polymorph of the same formula comes out at 26 kJ/mol of formula units.

The structure belongs to space group C2/m (No. 12); the cell edges are 11.0110, 4.1112 and 9.5776 Å and the angles 90.00°, 106.40° and 90.00°. The asymmetric unit holds Na at (0.0836, 0.0000, 0.3800), I at (0.1139, 0.5000, 0.1065) and Br at (0.1514, 0.5000, 0.6311).